First-principles (GGA-PBE) data for a relaxed Mg2Cd2GaAg5 crystal, as listed in Alexandria via LeMat-Bulk.

Results
Space-group type: P4/mbm (127)
DFT formation energy: 11 meV per atom

POSCAR file:
```
Mg2Cd2GaAg5
1.0
9.718 0.000 0.000
0.000 9.718 0.000
0.000 0.000 4.177
Mg Cd Ga Ag
4 4 2 10
Cartesian
1.241 3.618 0.000 Mg
3.618 8.477 0.000 Mg
6.100 1.241 0.000 Mg
8.477 6.100 0.000 Mg
1.637 6.496 0.000 Cd
3.222 1.637 0.000 Cd
6.496 8.081 0.000 Cd
8.081 3.222 0.000 Cd
0.000 0.000 0.000 Ga
4.859 4.859 0.000 Ga
0.000 4.859 2.088 Ag
0.983 1.769 2.088 Ag
1.769 8.735 2.088 Ag
3.090 3.876 2.088 Ag
3.876 6.628 2.088 Ag
4.859 0.000 2.088 Ag
5.842 3.090 2.088 Ag
6.628 5.842 2.088 Ag
7.949 0.983 2.088 Ag
8.735 7.949 2.088 Ag
```


First-principles (GGA-PBE) data for a relaxed Mg3Cd2GaAg3 crystal, as listed in Alexandria via LeMat-Bulk.

Results
Space-group type: P-62m (189)
DFT formation energy: -118 meV per atom

POSCAR file:
```
Mg3Cd2GaAg3
1.0
8.105 0.000 0.000
-4.053 7.019 0.000
0.000 0.000 3.031
Mg Cd Ga Ag
3 2 1 3
Cartesian
-2.869 4.969 0.000 Mg
1.184 2.051 0.000 Mg
5.737 0.000 0.000 Mg
0.000 4.679 0.000 Cd
4.053 2.340 0.000 Cd
0.000 0.000 1.516 Ga
-1.451 2.513 1.516 Ag
2.902 0.000 1.516 Ag
2.602 4.506 1.516 Ag
```


First-principles (GGA-PBE) data for a relaxed Mg2CdGaAg crystal, as listed in Alexandria via LeMat-Bulk.

Results
Space-group type: P2_1/m (11)
DFT formation energy: -97 meV per atom

POSCAR file:
```
Mg2CdGaAg
1.0
7.087 0.000 0.000
0.000 3.944 0.000
-0.373 0.000 7.104
Mg Cd Ga Ag
4 2 2 2
Cartesian
0.911 0.986 3.153 Mg
2.362 0.986 0.243 Mg
4.353 2.958 6.860 Mg
5.803 2.958 3.951 Mg
3.114 2.958 2.388 Cd
3.600 0.986 4.716 Cd
0.237 2.958 1.038 Ga
6.477 0.986 6.065 Ga
1.415 2.958 5.244 Ag
5.300 0.986 1.860 Ag
```


First-principles (GGA-PBE) data for a relaxed Mg5Cd2Ga2Ag crystal, as listed in Alexandria via LeMat-Bulk.

Results
Space-group type: P4/mbm (127)
DFT formation energy: -77 meV per atom

POSCAR file:
```
Mg5Cd2Ga2Ag
1.0
11.735 0.000 0.000
0.000 11.735 0.000
0.000 0.000 3.117
Mg Cd Ga Ag
10 4 4 2
Cartesian
0.000 5.867 0.000 Mg
0.220 2.377 0.000 Mg
2.377 11.515 0.000 Mg
3.491 5.648 0.000 Mg
5.648 8.244 0.000 Mg
5.867 0.000 0.000 Mg
6.087 3.491 0.000 Mg
8.244 6.087 0.000 Mg
9.358 0.220 0.000 Mg
11.515 9.358 0.000 Mg
2.187 8.055 1.559 Cd
3.680 2.187 1.559 Cd
8.055 9.548 1.559 Cd
9.548 3.680 1.559 Cd
1.658 4.209 1.559 Ga
4.209 10.077 1.559 Ga
7.526 1.658 1.559 Ga
10.077 7.526 1.559 Ga
0.000 0.000 1.559 Ag
5.867 5.867 1.559 Ag
```


First-principles (GGA-PBE) data for a relaxed MgCd2GaAg5 crystal, as listed in Alexandria via LeMat-Bulk.

Results
Space-group type: Cmc2_1 (36)
DFT formation energy: -21 meV per atom

POSCAR file:
```
MgCd2GaAg5
1.0
1.843 -8.388 0.000
1.843 8.388 0.000
0.000 0.000 11.501
Mg Cd Ga Ag
2 4 2 10
Cartesian
1.843 4.279 5.751 Mg
1.843 -4.279 0.000 Mg
1.843 2.189 1.896 Cd
1.843 1.927 9.901 Cd
1.843 -1.927 4.150 Cd
1.843 -2.189 7.647 Cd
1.843 6.541 11.069 Ga
1.843 -6.541 5.319 Ga
1.843 8.132 8.941 Ag
1.843 7.606 5.973 Ag
1.843 5.214 2.021 Ag
1.843 4.716 9.274 Ag
1.843 1.076 7.120 Ag
1.843 -1.076 1.369 Ag
1.843 -4.716 3.523 Ag
1.843 -5.214 7.771 Ag
1.843 -7.606 0.222 Ag
1.843 -8.132 3.190 Ag
```


First-principles (GGA-PBE) data for a relaxed MgCd2Ga2Ag5 crystal, as listed in Alexandria via LeMat-Bulk.

Results
Space-group type: P4/mbm (127)
DFT formation energy: -15 meV per atom

POSCAR file:
```
MgCd2Ga2Ag5
1.0
9.478 0.000 0.000
0.000 9.478 0.000
0.000 0.000 4.252
Mg Cd Ga Ag
2 4 4 10
Cartesian
0.000 0.000 0.000 Mg
4.739 4.739 0.000 Mg
1.642 3.097 0.000 Cd
3.097 7.835 0.000 Cd
6.381 1.642 0.000 Cd
7.835 6.381 0.000 Cd
1.178 5.917 0.000 Ga
3.561 1.178 0.000 Ga
5.917 8.299 0.000 Ga
8.299 3.561 0.000 Ga
0.000 4.739 2.126 Ag
0.682 7.583 2.126 Ag
1.894 0.682 2.126 Ag
2.844 5.421 2.126 Ag
4.056 2.844 2.126 Ag
4.739 0.000 2.126 Ag
5.421 6.633 2.126 Ag
6.633 4.056 2.126 Ag
7.583 8.795 2.126 Ag
8.795 1.894 2.126 Ag
```


The lowest DFT formation energy belongs to which entry? Mg3Cd2GaAg3


Copy entry 6 word for word.
First-principles (GGA-PBE) data for a relaxed MgCd2Ga2Ag5 crystal, as listed in Alexandria via LeMat-Bulk.

Results
Space-group type: P4/mbm (127)
DFT formation energy: -15 meV per atom

POSCAR file:
```
MgCd2Ga2Ag5
1.0
9.478 0.000 0.000
0.000 9.478 0.000
0.000 0.000 4.252
Mg Cd Ga Ag
2 4 4 10
Cartesian
0.000 0.000 0.000 Mg
4.739 4.739 0.000 Mg
1.642 3.097 0.000 Cd
3.097 7.835 0.000 Cd
6.381 1.642 0.000 Cd
7.835 6.381 0.000 Cd
1.178 5.917 0.000 Ga
3.561 1.178 0.000 Ga
5.917 8.299 0.000 Ga
8.299 3.561 0.000 Ga
0.000 4.739 2.126 Ag
0.682 7.583 2.126 Ag
1.894 0.682 2.126 Ag
2.844 5.421 2.126 Ag
4.056 2.844 2.126 Ag
4.739 0.000 2.126 Ag
5.421 6.633 2.126 Ag
6.633 4.056 2.126 Ag
7.583 8.795 2.126 Ag
8.795 1.894 2.126 Ag
```